(1)
{"formula": "TlGaSn2", "functional": "PBE", "state": "relaxed", "delta_e_f_kj_per_mol_atoms": 6.3, "m_tot_mub_per_cell": 0.00, "sg": "No. 123", "energy_ev_per_cell": -13.14, "cell": [[4.870, 0.000, 0.000], [0.000, 4.675, 0.000], [0.000, 0.000, 4.675]], "species": ["Sn", "Tl", "Ga", "Sn"], "fractional_positions": [[0.000, 0.500, 0.000], [0.500, 0.500, 0.500], [0.500, 0.000, 0.000], [0.000, 0.000, 0.500]]}

***

(2)
{"formula": "TlGaSn", "functional": "PBE", "state": "relaxed", "delta_e_f_kj_per_mol_atoms": 1.2, "m_tot_mub_per_cell": 0.00, "sg": "No. 2", "energy_ev_per_cell": -18.72, "cell": [[4.705, 0.022, 0.020], [2.291, 5.752, 0.156], [2.343, -0.151, 5.946]], "species": ["Ga", "Tl", "Sn", "Tl", "Sn", "Ga"], "fractional_positions": [[0.942, 0.414, 0.201], [0.753, 0.161, 0.835], [0.411, 0.254, 0.421], [0.247, 0.839, 0.165], [0.589, 0.746, 0.579], [0.058, 0.586, 0.799]]}

***

(3)
{"formula": "Tl2GaSn", "functional": "PBE", "state": "relaxed", "delta_e_f_kj_per_mol_atoms": 9.5, "m_tot_mub_per_cell": 0.00, "sg": "No. 123", "energy_ev_per_cell": -11.37, "cell": [[3.793, 0.000, 0.000], [0.000, 3.793, 0.000], [0.000, 0.000, 7.662]], "species": ["Tl", "Tl", "Ga", "Sn"], "fractional_positions": [[0.000, 0.000, 0.765], [0.000, 0.000, 0.235], [0.500, 0.500, 0.000], [0.500, 0.500, 0.500]]}

***

(4)
{"formula": "TlGa6Sn2", "functional": "PBE", "state": "relaxed", "delta_e_f_kj_per_mol_atoms": 5.8, "m_tot_mub_per_cell": 0.00, "sg": "No. 123", "energy_ev_per_cell": -27.99, "cell": [[4.615, 0.000, 0.000], [0.000, 4.615, 0.000], [0.000, 0.000, 10.048]], "species": ["Ga", "Ga", "Ga", "Sn", "Ga", "Sn", "Ga", "Ga", "Tl"], "fractional_positions": [[0.500, 0.500, 0.500], [0.000, 0.000, 0.500], [0.000, 0.500, 0.675], [0.500, 0.500, 0.149], [0.500, 0.000, 0.325], [0.500, 0.500, 0.851], [0.500, 0.000, 0.675], [0.000, 0.500, 0.325], [0.000, 0.000, 0.000]]}

***

(5)
{"formula": "Tl2GaSn", "functional": "PBE", "state": "relaxed", "delta_e_f_kj_per_mol_atoms": 4.7, "m_tot_mub_per_cell": 0.00, "sg": "No. 8", "energy_ev_per_cell": -11.57, "cell": [[4.641, 0.000, 0.000], [2.321, 4.044, 0.011], [2.321, 1.318, 6.459]], "species": ["Tl", "Sn", "Tl", "Ga"], "fractional_positions": [[0.910, 0.677, 0.504], [0.117, 0.878, 0.887], [0.690, 0.449, 0.172], [0.494, 0.258, 0.754]]}

***

(6)
{"formula": "Tl3GaSn", "functional": "PBE", "state": "relaxed", "delta_e_f_kj_per_mol_atoms": 6.0, "m_tot_mub_per_cell": 0.00, "sg": "No. 14", "energy_ev_per_cell": -55.27, "cell": [[5.668, 0.000, 0.000], [0.000, 9.166, -0.810], [0.000, -0.564, 11.141]], "species": ["Ga", "Tl", "Sn", "Ga", "Tl", "Tl", "Tl", "Tl", "Ga", "Tl", "Tl", "Tl", "Sn", "Tl", "Tl", "Tl", "Sn", "Tl", "Sn", "Ga"], "fractional_positions": [[0.092, 0.903, 0.918], [0.574, 0.021, 0.846], [0.014, 0.360, 0.236], [0.592, 0.097, 0.582], [0.926, 0.021, 0.346], [0.074, 0.979, 0.654], [0.426, 0.979, 0.154], [0.506, 0.322, 0.389], [0.408, 0.903, 0.418], [0.509, 0.665, 0.937], [0.991, 0.665, 0.437], [0.491, 0.335, 0.063], [0.486, 0.360, 0.736], [0.994, 0.322, 0.889], [0.009, 0.335, 0.563], [0.494, 0.678, 0.611], [0.514, 0.640, 0.264], [0.006, 0.678, 0.111], [0.986, 0.640, 0.764], [0.908, 0.097, 0.082]]}

***

(7)
{"formula": "TlGa4Sn5", "functional": "PBE", "state": "relaxed", "delta_e_f_kj_per_mol_atoms": 8.7, "m_tot_mub_per_cell": 0.00, "sg": "No. 12", "energy_ev_per_cell": -33.59, "cell": [[3.918, -1.015, -0.827], [-1.015, 3.918, 0.827], [-5.497, 5.497, 19.839]], "species": ["Ga", "Sn", "Ga", "Tl", "Sn", "Sn", "Sn", "Sn", "Ga", "Ga"], "fractional_positions": [[0.022, 0.978, 0.214], [0.500, 0.500, 0.500], [0.978, 0.022, 0.786], [0.000, 0.000, 0.000], [0.456, 0.544, 0.871], [0.489, 0.511, 0.692], [0.544, 0.456, 0.129], [0.511, 0.489, 0.308], [0.010, 0.990, 0.406], [0.990, 0.010, 0.594]]}

***

(8)
{"formula": "Tl3Ga3Sn", "functional": "PBE", "state": "relaxed", "delta_e_f_kj_per_mol_atoms": 52.0, "m_tot_mub_per_cell": 0.00, "sg": "No. 223", "energy_ev_per_cell": -32.82, "cell": [[7.825, 0.000, 0.000], [0.000, 7.825, 0.000], [0.000, 0.000, 7.825]], "species": ["Sn", "Tl", "Ga", "Tl", "Ga", "Tl", "Tl", "Ga", "Ga", "Ga", "Sn", "Tl", "Tl", "Ga"], "fractional_positions": [[0.500, 0.500, 0.500], [0.000, 0.250, 0.500], [0.000, 0.500, 0.750], [0.250, 0.500, 0.000], [0.500, 0.750, 0.000], [0.000, 0.750, 0.500], [0.500, 0.000, 0.250], [0.250, 0.000, 0.500], [0.000, 0.500, 0.250], [0.750, 0.000, 0.500], [0.000, 0.000, 0.000], [0.500, 0.000, 0.750], [0.750, 0.500, 0.000], [0.500, 0.250, 0.000]]}